SiTe2Se: relaxed, PBE-GGA.

## Properties
The calculation puts the uncorrected formation energy at 12.6 kJ/mol of atoms. The crystal system is monoclinic. Its calculated total energy is -3.67 eV/atom. As for the density: 5.11 Mg/m³. The density of states at the Fermi level is 0.741 states/eV/cell.

```
data_SiTe2Se
_chemical_formula_sum 'Si1 Te2 Se1'
_space_group_name_H-M_alt 'P 1'
_space_group_IT_number 1
_cell_length_a 6.046
_cell_length_b 6.046
_cell_length_c 6.133
_cell_angle_alpha 78.62
_cell_angle_beta 78.62
_cell_angle_gamma 32.48
loop_
_space_group_symop_operation_xyz
'x,y,z'
loop_
_atom_site_label
_atom_site_type_symbol
_atom_site_fract_x
_atom_site_fract_y
_atom_site_fract_z
Si1 Si 0.245 0.245 0.342
Se1 Se 0.594 0.594 0.383
Te1 Te 0.752 0.752 0.738
Te2 Te 0.909 0.909 0.038
```